This record from Alexandria via LeMat-Bulk describes a relaxed MgRhCl crystal. The functional is GGA-PBE.

For the energy above the most stable polymorph in this dataset, the calculation gives 0.0354 eV/atom. For the volume, the calculation gives 132.12 Å³/cell.

It has space group P-1 (No. 2), with a = 3.191 Å, b = 3.664 Å, c = 11.360 Å, α = 95.92°, β = 90.24° and γ = 90.17°. The distinct sites, in fractional coordinates, are Mg at (0.249, 0.110, 0.296), Rh at (0.251, 0.260, 0.538) and Cl at (0.252, 0.699, 0.839).